18
Lattice="5.343 0.000 0.000 -2.671 4.627 0.000 0.000 0.000 9.833" Properties=species:S:1:pos:R:3 comment="YNpCrO6 PBE+U optimized geometry" volume_a3_per_atom=13.506 sg="P-31c (163)" final_energy_ev_per_cell=-163.5 pbc="T T T"
Y 0.000 0.000 0.000
Y 0.000 0.000 4.917
Np 0.000 3.085 2.458
Np 2.671 1.542 7.375
Cr 0.000 3.085 7.375
Cr 2.671 1.542 2.458
O -0.909 1.642 6.277
O -1.704 3.018 8.473
O 0.909 1.642 8.473
O -0.795 4.593 6.277
O 1.877 0.034 1.360
O 0.968 1.609 3.556
O 1.704 3.018 6.277
O 0.795 4.593 8.473
O 3.466 0.034 3.556
O 1.762 2.985 1.360
O 4.375 1.609 1.360
O 3.581 2.985 3.556